The following is a DFT calculation (PBE-GGA) of an optimized crystal structure of Be2CuAu3.

Unit cell a=2.935 b=2.935 c=9.574 alpha=90.00 beta=90.00 gamma=90.00
Atoms (fractional coordinates):
Au1 0.000 0.000 0.000
Au2 0.000 0.000 0.690
Au3 0.000 0.000 0.310
Be1 0.500 0.500 0.840
Be2 0.500 0.500 0.160
Cu1 0.500 0.500 0.500

Values from the calculation:
Polymorph energy (0 for the lowest one)   0 meV/atom
Final energy   -0.1351 Ha/atom
Energy relative to the elements   -0.112 eV per atom
D(E_F)   1.03 states/eV/f.u.